1.
An optimized crystal structure of Mg3CrP, computed with PBEsol.

- Magnetization: 4.8 Bohr magnetons per cell
- Symmetry: No. 221
- N(E_F): 3.064 states/eV per cell
- Electronic total energy: -3.805 eV/atom

Cell lengths 4.875, 4.875, 4.875 Å; angles 90.00, 90.00, 90.00 degrees
Element x y z (fractional)
Cr 0.500 0.500 0.500
Mg 0.000 0.500 0.000
Mg 0.000 0.000 0.500
Mg 0.500 0.000 0.000
P 0.000 0.000 0.000


2.
An optimized crystal structure of Ba4TcNi, computed with PBEsol.

- Magnetization: 2.5 Bohr magnetons per cell
- Symmetry: No. 216
- N(E_F): 11.534 states/eV per cell
- Electronic total energy: -2.845 eV/atom

Cell lengths 6.672, 6.672, 6.672 Å; angles 60.00, 60.00, 60.00 degrees
Element x y z (fractional)
Ba 0.375 0.375 0.375
Ba 0.375 0.375 0.874
Ba 0.874 0.375 0.375
Ba 0.375 0.874 0.375
Ni 0.750 0.750 0.750
Tc 0.000 0.000 0.000


3.
An optimized crystal structure of SiPBr2, computed with PBEsol.

- Magnetization: 0.0 Bohr magnetons per cell
- Symmetry: No. 123
- N(E_F): 2.297 states/eV per cell
- Uncorrected formation energy: 0.697 eV per atom
- Electronic total energy: -3.123 eV/atom

Cell lengths 3.235, 3.235, 7.857 Å; angles 90.00, 90.00, 90.00 degrees
Element x y z (fractional)
P 0.500 0.500 0.000
Si 0.500 0.500 0.500
Br 0.000 0.000 0.716
Br 0.000 0.000 0.284


4.
An optimized crystal structure of RePb2, computed with PBEsol.

- Magnetization: 0.0 Bohr magnetons per cell
- Symmetry: No. 123
- N(E_F): 2.882 states/eV per cell
- Electronic total energy: -6.130 eV/atom

Cell lengths 3.232, 4.733, 4.733 Å; angles 90.00, 90.00, 90.00 degrees
Element x y z (fractional)
Pb 0.500 0.000 0.500
Pb 0.500 0.500 0.000
Re 0.000 0.000 0.000


5.
An optimized crystal structure of Al2CrPd, computed with PBEsol.

- Magnetization: 5.2 Bohr magnetons per cell
- Symmetry: No. 122
- N(E_F): 5.688 states/eV per cell
- Electronic total energy: -5.981 eV/atom

Cell lengths 5.445, 5.507, 5.507 Å; angles 75.86, 60.37, 60.37 degrees
Element x y z (fractional)
Cr 0.500 0.000 0.000
Cr 0.250 0.500 0.500
Al 0.639 0.986 0.486
Al 0.111 0.014 0.514
Al 0.375 0.514 0.986
Al 0.875 0.486 0.014
Pd 0.000 0.000 0.000
Pd 0.750 0.500 0.500


6.
An optimized crystal structure of InHNO2, computed with PBEsol.

- Magnetization: 0.0 Bohr magnetons per cell
- Symmetry: No. 123
- N(E_F): 1.478 states/eV per cell
- Electronic total energy: -4.471 eV/atom

Cell lengths 2.747, 3.870, 3.870 Å; angles 90.00, 90.00, 90.00 degrees
Element x y z (fractional)
H 0.000 0.000 0.000
N 0.500 0.000 0.000
O 0.000 0.000 0.500
O 0.000 0.500 0.000
In 0.500 0.500 0.500


7.
An optimized crystal structure of CdRhN2F, computed with PBEsol.

- Magnetization: 4.2 Bohr magnetons per cell
- Symmetry: No. 123
- N(E_F): 6.400 states/eV per cell
- Uncorrected formation energy: 1.682 eV per atom
- Electronic total energy: -3.981 eV/atom

Cell lengths 4.104, 4.104, 4.243 Å; angles 90.00, 90.00, 90.00 degrees
Element x y z (fractional)
N 0.000 0.500 0.000
N 0.500 0.000 0.000
F 0.000 0.000 0.500
Rh 0.500 0.500 0.500
Cd 0.000 0.000 0.000


8.
An optimized crystal structure of La3CuO, computed with PBEsol.

- Magnetization: 0.0 Bohr magnetons per cell
- Symmetry: No. 221
- N(E_F): 8.662 states/eV per cell
- Uncorrected formation energy: 0.400 eV per atom
- Electronic total energy: -4.724 eV/atom

Cell lengths 5.395, 5.395, 5.395 Å; angles 90.00, 90.00, 90.00 degrees
Element x y z (fractional)
O 0.500 0.500 0.500
Cu 0.000 0.000 0.000
La 0.000 0.500 0.000
La 0.000 0.000 0.500
La 0.500 0.000 0.000


9.
An optimized crystal structure of CdIrPtO2, computed with PBEsol.

- Magnetization: 0.0 Bohr magnetons per cell
- Symmetry: No. 123
- N(E_F): 4.231 states/eV per cell
- Uncorrected formation energy: 0.074 eV per atom
- Electronic total energy: -5.623 eV/atom

Cell lengths 3.692, 3.692, 6.477 Å; angles 90.00, 90.00, 90.00 degrees
Element x y z (fractional)
Ir 0.000 0.000 0.000
O 0.000 0.500 0.000
O 0.500 0.000 0.000
Pt 0.500 0.500 0.500
Cd 0.000 0.000 0.500


10.
An optimized crystal structure of NbP2O7, computed with PBEsol.

- Magnetization: 4.0 Bohr magnetons per cell
- Symmetry: No. 205
- N(E_F): 17.275 states/eV per cell
- Uncorrected formation energy: -2.253 eV per atom
- Electronic total energy: -8.168 eV/atom

Cell lengths 8.395, 8.395, 8.395 Å; angles 90.00, 90.00, 90.00 degrees
Element x y z (fractional)
Nb 0.000 0.000 0.000
Nb 0.000 0.500 0.500
Nb 0.500 0.000 0.500
Nb 0.500 0.500 0.000
P 0.109 0.609 0.891
P 0.109 0.891 0.391
P 0.391 0.391 0.391
P 0.391 0.109 0.891
P 0.609 0.609 0.609
P 0.609 0.891 0.109
P 0.891 0.109 0.609
P 0.891 0.391 0.109
O 0.058 0.720 0.420
O 0.080 0.942 0.220
O 0.280 0.920 0.442
O 0.500 0.000 0.000
O 0.558 0.780 0.580
O 0.558 0.720 0.080
O 0.580 0.558 0.780
O 0.580 0.942 0.280
O 0.720 0.420 0.058
O 0.780 0.580 0.558
O 0.780 0.920 0.058
O 0.920 0.442 0.280
O 0.942 0.220 0.080
O 0.000 0.500 0.000
O 0.058 0.780 0.920
O 0.080 0.558 0.720
O 0.220 0.080 0.942
O 0.220 0.420 0.442
O 0.280 0.580 0.942
O 0.420 0.058 0.720
O 0.420 0.442 0.220
O 0.442 0.280 0.920
O 0.442 0.220 0.420
O 0.500 0.500 0.500
O 0.720 0.080 0.558
O 0.920 0.058 0.780
O 0.942 0.280 0.580
O 0.000 0.000 0.500


11.
An optimized crystal structure of Cs2RbAu2, computed with PBEsol.

- Magnetization: 0.0 Bohr magnetons per cell
- Symmetry: No. 139
- N(E_F): 3.139 states/eV per cell
- Electronic total energy: -2.218 eV/atom

Cell lengths 5.359, 5.359, 8.222 Å; angles 109.02, 109.02, 90.00 degrees
Element x y z (fractional)
Cs 0.250 0.750 0.500
Cs 0.750 0.250 0.500
Au 0.406 0.406 0.813
Au 0.594 0.594 0.187
Rb 0.000 0.000 0.000


12.
An optimized crystal structure of Be2SiBr, computed with PBEsol.

- Magnetization: 0.0 Bohr magnetons per cell
- Symmetry: No. 123
- N(E_F): 2.139 states/eV per cell
- Uncorrected formation energy: 0.765 eV per atom
- Electronic total energy: -3.139 eV/atom

Cell lengths 2.897, 4.455, 4.455 Å; angles 90.03, 90.00, 90.00 degrees
Element x y z (fractional)
Be 0.000 0.500 0.000
Be 0.000 0.000 0.500
Si 0.500 0.500 0.500
Br 0.500 0.000 0.000


13.
An optimized crystal structure of TaTeAs2, computed with PBEsol.

- Magnetization: 0.0 Bohr magnetons per cell
- Symmetry: No. 99
- N(E_F): 1.157 states/eV per cell
- Uncorrected formation energy: -0.123 eV per atom
- Electronic total energy: -6.696 eV/atom

Cell lengths 3.331, 3.331, 7.334 Å; angles 90.00, 90.00, 90.00 degrees
Element x y z (fractional)
As 0.000 0.000 0.077
As 0.500 0.500 0.273
Te 0.500 0.500 0.694
Ta 0.000 0.000 0.456


14.
An optimized crystal structure of Ti4Cu2O, computed with PBEsol.

- Magnetization: 1.5 Bohr magnetons per cell
- Symmetry: No. 227
- N(E_F): 31.201 states/eV per cell
- Uncorrected formation energy: -0.920 eV per atom
- Electronic total energy: -7.664 eV/atom

Cell lengths 7.988, 7.988, 7.988 Å; angles 60.00, 60.00, 60.00 degrees
Element x y z (fractional)
Ti 0.680 0.320 0.680
Ti 0.320 0.680 0.320
Ti 0.570 0.930 0.570
Ti 0.930 0.570 0.570
Ti 0.570 0.930 0.930
Ti 0.930 0.570 0.930
Ti 0.320 0.320 0.680
Ti 0.570 0.570 0.930
Ti 0.125 0.125 0.125
Ti 0.125 0.625 0.125
Ti 0.625 0.125 0.125
Ti 0.125 0.125 0.625
Ti 0.680 0.320 0.320
Ti 0.320 0.680 0.680
Ti 0.930 0.930 0.570
Ti 0.680 0.680 0.320
Cu 0.917 0.917 0.249
Cu 0.333 0.001 0.333
Cu 0.001 0.333 0.333
Cu 0.333 0.333 0.333
Cu 0.249 0.917 0.917
Cu 0.917 0.249 0.917
Cu 0.333 0.333 0.001
Cu 0.917 0.917 0.917
O 0.625 0.125 0.625
O 0.625 0.625 0.625
O 0.125 0.625 0.625
O 0.625 0.625 0.125


15.
An optimized crystal structure of KAu, computed with PBEsol.

- Magnetization: 0.0 Bohr magnetons per cell
- Symmetry: No. 187
- N(E_F): 0.000 states/eV per cell
- Electronic total energy: -2.545 eV/atom

Cell lengths 4.049, 4.461, 4.461 Å; angles 120.00, 90.00, 90.00 degrees
Element x y z (fractional)
K 0.500 0.333 0.667
Au 0.000 0.000 0.000


16.
An optimized crystal structure of K2CrRe, computed with PBEsol.

- Magnetization: 1.7 Bohr magnetons per cell
- Symmetry: No. 216
- N(E_F): 4.322 states/eV per cell
- Electronic total energy: -4.618 eV/atom

Cell lengths 5.065, 5.065, 5.065 Å; angles 60.00, 60.00, 60.00 degrees
Element x y z (fractional)
Cr 0.500 0.500 0.500
K 0.000 0.000 0.000
K 0.750 0.750 0.750
Re 0.250 0.250 0.250


17.
An optimized crystal structure of SrSc2Ta, computed with PBEsol.

- Magnetization: 0.0 Bohr magnetons per cell
- Symmetry: No. 123
- N(E_F): 4.070 states/eV per cell
- Electronic total energy: -6.250 eV/atom

Cell lengths 4.275, 4.726, 4.726 Å; angles 90.00, 90.00, 90.00 degrees
Element x y z (fractional)
Sc 0.000 0.000 0.500
Sc 0.000 0.500 0.000
Sr 0.500 0.500 0.500
Ta 0.500 0.000 0.000


18.
An optimized crystal structure of Ca3Fe3Sb2O12, computed with PBEsol.

- Magnetization: 56.0 Bohr magnetons per cell
- Symmetry: No. 230
- N(E_F): 13.969 states/eV per cell
- Uncorrected formation energy: -1.949 eV per atom
- Electronic total energy: -7.219 eV/atom

Cell lengths 10.909, 10.909, 10.909 Å; angles 109.47, 109.47, 109.47 degrees
Element x y z (fractional)
Ca 0.750 0.875 0.125
Ca 0.250 0.125 0.875
Ca 0.250 0.625 0.375
Ca 0.875 0.250 0.125
Ca 0.625 0.750 0.375
Ca 0.750 0.375 0.625
Ca 0.125 0.750 0.875
Ca 0.375 0.250 0.625
Ca 0.625 0.875 0.750
Ca 0.375 0.125 0.250
Ca 0.875 0.625 0.250
Ca 0.125 0.375 0.750
Fe 0.750 0.125 0.375
Fe 0.250 0.875 0.625
Fe 0.250 0.375 0.125
Fe 0.625 0.250 0.875
Fe 0.375 0.750 0.125
Fe 0.750 0.625 0.875
Fe 0.875 0.750 0.625
Fe 0.125 0.250 0.375
Fe 0.375 0.625 0.750
Fe 0.625 0.375 0.250
Fe 0.125 0.875 0.250
Fe 0.875 0.125 0.750
Sb 0.000 0.000 0.000
Sb 0.500 0.000 0.500
Sb 0.000 0.500 0.500
Sb 0.500 0.500 0.500
Sb 0.500 0.500 0.000
Sb 0.500 0.000 0.000
Sb 0.000 0.500 0.000
Sb 0.000 0.000 0.500
O 0.524 0.823 0.905
O 0.476 0.177 0.095
O 0.418 0.619 0.595
O 0.082 0.677 0.201
O 0.701 0.082 0.177
O 0.677 0.976 0.595
O 0.582 0.381 0.405
O 0.918 0.323 0.799
O 0.299 0.918 0.823
O 0.323 0.024 0.405
O 0.976 0.881 0.299
O 0.799 0.976 0.381
O 0.881 0.082 0.905
O 0.024 0.119 0.701
O 0.201 0.024 0.619
O 0.119 0.918 0.095
O 0.405 0.524 0.323
O 0.823 0.418 0.299
O 0.595 0.476 0.677
O 0.177 0.582 0.701
O 0.095 0.418 0.119
O 0.619 0.524 0.201
O 0.905 0.582 0.881
O 0.381 0.476 0.799
O 0.619 0.095 0.918
O 0.418 0.799 0.323
O 0.381 0.905 0.082
O 0.582 0.201 0.677
O 0.881 0.799 0.476
O 0.976 0.095 0.177
O 0.119 0.201 0.524
O 0.024 0.905 0.823
O 0.677 0.701 0.582
O 0.082 0.405 0.381
O 0.323 0.299 0.418
O 0.918 0.595 0.619
O 0.823 0.405 0.024
O 0.524 0.701 0.119
O 0.177 0.595 0.976
O 0.476 0.299 0.881
O 0.701 0.619 0.024
O 0.299 0.381 0.976
O 0.799 0.823 0.918
O 0.201 0.177 0.082
O 0.095 0.677 0.476
O 0.905 0.323 0.524
O 0.405 0.881 0.582
O 0.595 0.119 0.418


19.
An optimized crystal structure of Cd2CuAs, computed with PBEsol.

- Magnetization: 0.0 Bohr magnetons per cell
- Symmetry: No. 44
- N(E_F): 1.410 states/eV per cell
- Electronic total energy: -2.883 eV/atom

Cell lengths 2.860, 4.532, 6.382 Å; angles 110.80, 102.95, 90.00 degrees
Element x y z (fractional)
As 0.190 0.690 0.380
Cd 0.993 0.993 0.986
Cd 0.806 0.306 0.612
Cu 0.511 0.511 0.023


20.
An optimized crystal structure of HfIrO2F, computed with PBEsol.

- Magnetization: 2.2 Bohr magnetons per cell
- Symmetry: No. 123
- N(E_F): 5.781 states/eV per cell
- Uncorrected formation energy: -1.292 eV per atom
- Electronic total energy: -7.842 eV/atom

Cell lengths 4.002, 4.078, 4.078 Å; angles 90.00, 90.00, 90.00 degrees
Element x y z (fractional)
Ir 0.500 0.500 0.500
Hf 0.000 0.000 0.000
O 0.000 0.000 0.500
O 0.000 0.500 0.000
F 0.500 0.000 0.000


21.
An optimized crystal structure of Si2PtRh, computed with PBEsol.

- Magnetization: 0.0 Bohr magnetons per cell
- Symmetry: No. 99
- N(E_F): 1.269 states/eV per cell
- Uncorrected formation energy: -0.744 eV per atom
- Electronic total energy: -7.392 eV/atom

Cell lengths 3.303, 3.303, 5.032 Å; angles 90.00, 90.00, 90.00 degrees
Element x y z (fractional)
Si 0.000 0.000 0.963
Si 0.500 0.500 0.282
Rh 0.500 0.500 0.806
Pt 0.000 0.000 0.449


22.
An optimized crystal structure of TaBeAgMo2, computed with PBEsol.

- Magnetization: 0.0 Bohr magnetons per cell
- Symmetry: No. 123
- N(E_F): 5.054 states/eV per cell
- Electronic total energy: -6.918 eV/atom

Cell lengths 3.843, 4.801, 4.801 Å; angles 90.00, 90.00, 90.00 degrees
Element x y z (fractional)
Be 0.500 0.000 0.000
Mo 0.000 0.000 0.500
Mo 0.000 0.500 0.000
Ag 0.000 0.000 0.000
Ta 0.500 0.500 0.500